Record 1
Here is a geometry-optimized YVCoPb2 structure from the Alexandria database. Energies are from PBE.

Results
calculated volume: 162 Å³/f.u.
theoretical density: 6.29 g/cm3
electronic total energy: -21.7 eV for the cell shown
calculated formation energy: 1.67 eV/atom

Cell lengths 5.7948, 5.7948, 4.8212 Å; angles 90.00, 90.00, 90.00 degrees
Last column: nearest neighbours and their distance in Å.
Atoms (fractional coordinates):
Y: 0.0000 0.0000 0.0000  2 V 2.41
V: 0.0000 0.0000 0.5000  2 Y 2.41
Co: 0.5000 0.5000 0.5000  8 Pb 3.77, 4 V 4.10
Pb: 0.0000 0.5000 0.0000  2 Y 2.90
Pb: 0.5000 0.0000 0.0000  2 Y 2.90


Record 2
Here is a geometry-optimized HoSiB2 structure from the Alexandria database. Energies are from PBE.

Results
uncorrected formation energy: -248.3 meV/atom
calculated volume: 55 Å³/f.u.
theoretical density: 6.44 g/cm3
electronic total energy: -24.3 eV for the cell shown

Cell lengths 3.6779, 3.9430, 3.9430 Å; angles 75.49, 90.00, 90.00 degrees
Last column: nearest neighbours and their distance in Å.
Atoms (fractional coordinates):
Ho: 0.0000 0.0000 0.0000  8 B 2.74, 2 Si 3.04
Si: 0.5000 0.6118 0.6118  4 B 1.99-2.10
B: 0.5000 0.1336 0.4668  1 B 1.61
B: 0.5000 0.4668 0.1336  1 B 1.61


Record 3
Here is a geometry-optimized Pr2ReAgO8 structure from the Alexandria database. Energies are from PBE.

Results
uncorrected formation energy: -1956.3 meV/atom
calculated volume: 165 Å³/f.u.
theoretical density: 7.09 g/cm3
electronic total energy: -88.0 eV for the cell shown

Cell lengths 4.3384, 5.4468, 7.0918 Å; angles 82.86, 85.76, 83.62 degrees
Last column: nearest neighbours and their distance in Å.
Atoms (fractional coordinates):
Pr: 0.1789 0.0148 0.2405  5 O 2.39-2.49
Pr: 0.8211 0.9852 0.7595  5 O 2.39-2.49
Re: 0.5000 0.5000 0.5000  6 O 1.85-2.00
Ag: 0.5000 0.5000 0.0000  4 O 2.02-2.05
O: 0.1962 0.7630 0.5456  1 Re 1.88
O: 0.2757 0.8449 0.9445  1 Ag 2.02
O: 0.2873 0.2661 0.6529  1 Re 1.85
O: 0.2922 0.4470 0.2684  1 Re 2.00, 1 Ag 2.05
O: 0.7078 0.5530 0.7316  1 Re 2.00, 1 Ag 2.05
O: 0.7127 0.7339 0.3471  1 Re 1.85
O: 0.7243 0.1551 0.0555  1 Ag 2.02
O: 0.8038 0.2370 0.4544  1 Re 1.88